First-principles (GGA+U) data for a relaxed structure of CrMoPbF6, as listed in the Alexandria database.

Properties
calculated total energy: -98.39 eV/cell

Structure (CIF):
```
data_CrMoPbF6
_chemical_formula_sum 'Cr2 Mo2 Pb2 F12'
_cell_length_a 6.1867
_cell_length_b 6.1867
_cell_length_c 9.0096
_cell_angle_alpha 90.00
_cell_angle_beta 90.00
_cell_angle_gamma 120.00
_space_group_name_H-M_alt 'P -3 1 c'
_space_group_IT_number 163
_space_group_name_Hall '-P 3 2c'
loop_
_atom_site_label
_atom_site_type_symbol
_atom_site_fract_x
_atom_site_fract_y
_atom_site_fract_z
Cr1 Cr 0.0000 0.0000 0.0000
Mo1 Mo 0.3333 0.6667 0.2500
Pb1 Pb 0.3333 0.6667 0.7500
F1 F 0.0461 0.3716 0.1260
```